# GGA-PBE Ce3Al2Zn, optimized geometry
data_Ce3Al2Zn
_symmetry_space_group_name_H-M 'P 4/m m m'
_symmetry_Int_Tables_number 123
_symmetry_space_group_name_Hall '-P 4 2'
_cell_length_a 3.137
_cell_length_b 3.137
_cell_length_c 13.621
_cell_angle_alpha 90.00
_cell_angle_beta 90.00
_cell_angle_gamma 90.00
loop_
_atom_site_label
_atom_site_fract_x
_atom_site_fract_y
_atom_site_fract_z
Ce1 0.000 0.000 0.000
Ce2 0.000 0.000 0.335
Al1 0.500 0.500 0.169
Zn1 0.500 0.500 0.500
# Spin magnetization, μB per atom: 0.0000
# Formation energy, eV/atom: -0.283